(1)
AlFeP2O meta-GGA SCAN PBEsol geometry; M_tot = 3.34 Bohr magnetons per cell; ΔE_f (raw) = -0.0263 eV/atom; DOS at the Fermi energy = 0.74 states/eV/atom
1.0
4.834 0.000 0.000
0.000 4.834 0.000
0.000 0.000 3.295
Al Fe P O
1 1 2 1
direct
0.000 0.000 0.000 Al
0.500 0.500 0.500 Fe
0.000 0.500 0.000 P
0.500 0.000 0.000 P
0.000 0.000 0.500 O

---

(2)
Ca5Ge6Pd6 meta-GGA SCAN PBEsol geometry; M_tot = 0.00 Bohr magnetons per cell; energy of formation from the pure elements = -0.872 eV per atom; DOS at the Fermi energy = 0.31 states/eV/atom
1.0
-4.348 4.348 4.348
4.348 -4.348 4.348
4.348 4.348 -4.348
Ca Ge Pd
5 6 6
direct
0.000 0.000 0.000 Ca
0.000 0.000 0.500 Ca
0.000 0.500 0.000 Ca
0.500 0.000 0.000 Ca
0.500 0.500 0.500 Ca
0.000 0.346 0.346 Ge
0.000 0.654 0.654 Ge
0.346 0.000 0.346 Ge
0.346 0.346 0.000 Ge
0.654 0.000 0.654 Ge
0.654 0.654 0.000 Ge
0.250 0.500 0.750 Pd
0.250 0.750 0.500 Pd
0.500 0.250 0.750 Pd
0.500 0.750 0.250 Pd
0.750 0.250 0.500 Pd
0.750 0.500 0.250 Pd

---

(3)
Tc3HO meta-GGA SCAN PBEsol geometry; M_tot = 1.28 Bohr magnetons per cell; calculated total energy = -110.6 eV for the cell shown; DOS at the Fermi energy = 0.82 states/eV/atom
1.0
3.927 0.000 0.000
0.000 3.927 0.000
0.000 0.000 3.927
Tc H O
3 1 1
direct
0.000 0.000 0.500 Tc
0.000 0.500 0.000 Tc
0.500 0.000 0.000 Tc
0.500 0.500 0.500 H
0.000 0.000 0.000 O

---

(4)
MnTlBRh2 meta-GGA SCAN PBEsol geometry; M_tot = 0.00 Bohr magnetons per cell; energy of formation from the pure elements = 1.773 eV per atom; DOS at the Fermi energy = 0.94 states/eV/atom
1.0
4.333 0.000 0.000
0.000 4.333 0.000
0.000 0.000 4.914
Mn Tl B Rh
1 1 1 2
direct
0.000 0.000 0.000 Mn
0.000 0.000 0.500 Tl
0.500 0.500 0.500 B
0.000 0.500 0.000 Rh
0.500 0.000 0.000 Rh

---

(5)
NiSe3 meta-GGA SCAN PBEsol geometry; M_tot = 0.00 Bohr magnetons per cell; ΔE_f (raw) = 0.0371 eV/atom; DOS at the Fermi energy = 0.48 states/eV/atom
1.0
-1.677 5.057 2.299
1.677 -5.057 2.299
1.677 5.057 -2.299
Ni Se
1 3
direct
0.000 0.000 0.000 Ni
0.024 0.368 0.655 Se
0.373 0.873 0.500 Se
0.713 0.368 0.345 Se

---

(6)
BaAlSi2Se meta-GGA SCAN PBEsol geometry; M_tot = 0.00 Bohr magnetons per cell; ΔE_f (raw) = 1.4966 eV/atom; DOS at the Fermi energy = 0.96 states/eV/atom
1.0
5.688 0.000 0.000
0.000 5.688 0.000
0.000 0.000 5.843
Ba Al Si Se
1 1 2 1
direct
0.000 0.000 0.000 Ba
0.500 0.500 0.500 Al
0.000 0.500 0.000 Si
0.500 0.000 0.000 Si
0.000 0.000 0.500 Se

---

(7)
Nd2MgS4 meta-GGA SCAN PBEsol geometry; M_tot = 0.00 Bohr magnetons per cell; energy above the most stable polymorph in this dataset = 0.000 eV per atom; ΔE_f (raw) = -2.0864 eV/atom; DOS at the Fermi energy = 0.00 states/eV/atom
1.0
0.000 5.680 5.680
5.680 0.000 5.680
5.680 5.680 0.000
Nd Mg S
4 2 8
direct
0.000 0.000 0.000 Nd
0.000 0.000 0.500 Nd
0.000 0.500 0.000 Nd
0.500 0.000 0.000 Nd
0.375 0.375 0.375 Mg
0.625 0.625 0.625 Mg
0.242 0.753 0.753 S
0.247 0.247 0.247 S
0.247 0.247 0.758 S
0.247 0.758 0.247 S
0.753 0.242 0.753 S
0.753 0.753 0.242 S
0.753 0.753 0.753 S
0.758 0.247 0.247 S

---

(8)
AgAsOF2 meta-GGA SCAN PBEsol geometry; M_tot = 0.00 Bohr magnetons per cell; ΔE_f (raw) = -1.0788 eV/atom; DOS at the Fermi energy = 0.06 states/eV/atom
1.0
4.194 0.000 0.000
0.000 4.194 0.000
0.000 0.000 3.937
Ag As O F
1 1 1 2
direct
0.000 0.000 0.000 Ag
0.500 0.500 0.500 As
0.500 0.500 0.000 O
0.000 0.500 0.500 F
0.500 0.000 0.500 F

---

(9)
La2InTc meta-GGA SCAN PBEsol geometry; M_tot = 0.00 Bohr magnetons per cell; energy of formation from the pure elements = 0.237 eV per atom; DOS at the Fermi energy = 0.71 states/eV/atom
1.0
1.723 0.995 9.480
-1.723 0.995 9.480
0.000 -1.989 9.480
La In Tc
2 1 1
direct
0.000 0.000 0.000 La
0.232 0.232 0.232 La
0.470 0.470 0.470 In
0.736 0.736 0.736 Tc

---

(10)
CaAl2SnS meta-GGA SCAN PBEsol geometry; M_tot = 0.00 Bohr magnetons per cell; ΔE_f (raw) = 0.2992 eV/atom; DOS at the Fermi energy = 0.32 states/eV/atom
1.0
5.034 0.000 0.000
0.000 5.034 0.000
0.000 0.000 6.014
Ca Al Sn S
1 2 1 1
direct
0.000 0.000 0.000 Ca
0.000 0.500 0.500 Al
0.500 0.000 0.500 Al
0.000 0.000 0.500 Sn
0.500 0.500 0.000 S

---

(11)
TcMo2W meta-GGA SCAN PBEsol geometry; M_tot = 0.00 Bohr magnetons per cell; energy of formation from the pure elements = 0.046 eV per atom; energy above the most stable polymorph in this dataset = 0.043 eV per atom; DOS at the Fermi energy = 0.80 states/eV/atom
1.0
1.557 -2.212 0.000
1.557 2.212 0.000
0.000 0.000 8.765
Tc Mo W
1 2 1
direct
0.000 0.000 0.000 Tc
0.000 0.000 0.499 Mo
0.500 0.500 0.247 Mo
0.500 0.500 0.752 W

---

(12)
LuSe meta-GGA SCAN PBEsol geometry; M_tot = 0.00 Bohr magnetons per cell; ΔE_f (raw) = -1.7665 eV/atom; DOS at the Fermi energy = 0.46 states/eV/atom
1.0
0.000 2.774 2.774
2.774 0.000 2.774
2.774 2.774 0.000
Lu Se
1 1
direct
0.000 0.000 0.000 Lu
0.500 0.500 0.500 Se

---

(13)
LaTa2NbN meta-GGA SCAN PBEsol geometry; M_tot = 1.38 Bohr magnetons per cell; ΔE_f (raw) = 3.3339 eV/atom; DOS at the Fermi energy = 0.81 states/eV/atom
1.0
4.825 0.000 0.000
0.000 4.825 0.000
0.000 0.000 4.775
La Ta Nb N
1 2 1 1
direct
0.000 0.000 0.000 La
0.000 0.500 0.000 Ta
0.500 0.000 0.000 Ta
0.000 0.000 0.500 Nb
0.500 0.500 0.500 N

---

(14)
Be3SbMo meta-GGA SCAN PBEsol geometry; M_tot = 3.21 Bohr magnetons per cell; energy above the most stable polymorph in this dataset = 0.599 eV per atom; ΔE_f (raw) = 1.7575 eV/atom; DOS at the Fermi energy = 0.29 states/eV/atom
1.0
4.461 0.000 0.000
0.000 4.461 0.000
0.000 0.000 4.461
Be Sb Mo
3 1 1
direct
0.000 0.000 0.500 Be
0.000 0.500 0.000 Be
0.500 0.000 0.000 Be
0.000 0.000 0.000 Sb
0.500 0.500 0.500 Mo

---

(15)
PW2Se meta-GGA SCAN PBEsol geometry; M_tot = 0.00 Bohr magnetons per cell; energy above the most stable polymorph in this dataset = 0.553 eV per atom; ΔE_f (raw) = 0.6910 eV/atom; DOS at the Fermi energy = 0.61 states/eV/atom
1.0
-1.996 1.996 3.781
1.996 -1.996 3.781
1.996 1.996 -3.781
P W Se
1 2 1
direct
0.000 0.000 0.000 P
0.250 0.750 0.500 W
0.500 0.500 0.000 W
0.750 0.250 0.500 Se

---

(16)
ScNbAsW2 meta-GGA SCAN PBEsol geometry; M_tot = 0.00 Bohr magnetons per cell; energy of formation from the pure elements = 1.779 eV per atom; DOS at the Fermi energy = 0.59 states/eV/atom
1.0
4.692 0.000 0.000
0.000 4.692 0.000
0.000 0.000 5.065
Sc Nb As W
1 1 1 2
direct
0.000 0.000 0.000 Sc
0.000 0.000 0.500 Nb
0.500 0.500 0.000 As
0.000 0.500 0.500 W
0.500 0.000 0.500 W

---

(17)
Zn2In2Hg meta-GGA SCAN PBEsol geometry; M_tot = 0.00 Bohr magnetons per cell; energy of formation from the pure elements = 0.094 eV per atom; DOS at the Fermi energy = 0.24 states/eV/atom
1.0
6.952 0.000 0.000
0.000 6.952 0.000
0.000 0.000 4.265
Zn In Hg
4 4 2
direct
0.129 0.371 0.000 Zn
0.371 0.871 0.000 Zn
0.629 0.129 0.000 Zn
0.871 0.629 0.000 Zn
0.171 0.671 0.500 In
0.329 0.171 0.500 In
0.671 0.829 0.500 In
0.829 0.329 0.500 In
0.000 0.000 0.000 Hg
0.500 0.500 0.000 Hg

---

(18)
MgC3 meta-GGA SCAN PBEsol geometry; M_tot = 0.00 Bohr magnetons per cell; energy of formation from the pure elements = 2.748 eV per atom; energy above the most stable polymorph in this dataset = 1.881 eV per atom; DOS at the Fermi energy = 0.18 states/eV/atom
1.0
3.223 0.000 0.000
0.000 3.223 0.000
0.000 0.000 3.223
Mg C
1 3
direct
0.000 0.000 0.000 Mg
0.000 0.500 0.500 C
0.500 0.000 0.500 C
0.500 0.500 0.000 C

---

(19)
MnWF3 meta-GGA SCAN PBEsol geometry; M_tot = 9.99 Bohr magnetons per cell; ΔE_f (raw) = -0.7783 eV/atom; DOS at the Fermi energy = 0.68 states/eV/atom
1.0
4.157 0.000 0.000
0.000 4.157 0.000
0.000 0.000 4.157
Mn W F
1 1 3
direct
0.000 0.000 0.000 Mn
0.500 0.500 0.500 W
0.000 0.000 0.500 F
0.000 0.500 0.000 F
0.500 0.000 0.000 F

---

(20)
Sr2LiRe meta-GGA SCAN PBEsol geometry; M_tot = 0.17 Bohr magnetons per cell; energy of formation from the pure elements = 0.994 eV per atom; energy above the most stable polymorph in this dataset = 0.000 eV per atom; DOS at the Fermi energy = 0.88 states/eV/atom
1.0
4.529 -1.514 0.000
4.529 1.514 0.000
-0.495 0.000 7.982
Sr Li Re
2 1 1
direct
0.239 0.239 0.216 Sr
0.761 0.761 0.784 Sr
0.000 0.000 0.500 Li
0.500 0.500 0.000 Re